# 1
A relaxed structure of Al2CrInPb, computed with PBE.

Lattice parameters (Å, degrees): 4.859 5.132 4.859 90.00 90.00 90.00
Atoms (fractional coordinates):
Pb1 0.000 0.500 0.000
In1 0.500 0.500 0.500
Cr1 0.000 0.000 0.000
Al1 0.000 0.000 0.500
Al2 0.500 0.000 0.000

## Properties
- DFT total energy: -4.2809 eV/atom

***

# 2
A relaxed structure of Mn4CdSb, computed with PBE.

Lattice parameters (Å, degrees): 5.023 5.023 5.023 60.00 60.00 60.00
Atoms (fractional coordinates):
Mn1 0.625 0.625 0.124
Mn2 0.124 0.625 0.625
Cd1 0.000 0.000 0.000
Sb1 0.250 0.250 0.250
Mn3 0.625 0.124 0.625
Mn4 0.625 0.625 0.625

## Properties
- Energy relative to the elements, uncorrected: 0.403 eV per atom

***

# 3
A relaxed structure of Ta2TiGa, computed with PBE.

Lattice parameters (Å, degrees): 3.391 3.391 5.900 90.00 90.00 90.00
Atoms (fractional coordinates):
Ta1 0.000 0.000 0.258
Ti1 0.500 0.500 0.000
Ta2 0.000 0.000 0.742
Ga1 0.500 0.500 0.500

## Properties
- DFT total energy: -8.7503 eV/atom